Entry from the Alexandria database: a geometry-optimized Te2WIF structure (PBE+U).

Cell: 5.259 5.259 5.578 Å, 90.00 90.00 90.00°
Atoms (fractional coordinates):
Te 0.500 0.000 0.000
Te 0.000 0.500 0.000
W 0.000 0.000 0.000
I 0.000 0.000 0.500
F 0.500 0.500 0.500

## Properties
space group: P4/mmm, No. 123
DOS(E_F): 0.73 states/eV/atom
final energy: -2.929 eV/atom